No. 1
## AcNdRe2N5 (PBE)

Data for a relaxed AcNdRe2N5 crystal.

```
data_AcNdRe2N5
_cell_length_a 3.9920
_cell_length_b 3.9920
_cell_length_c 7.5669
_cell_angle_alpha 90.00
_cell_angle_beta 90.00
_cell_angle_gamma 90.00
_space_group_name_H-M_alt 'P 4/m m m'
_space_group_IT_number 123
_space_group_name_Hall '-P 4 2'
loop_
_atom_site_label
_atom_site_fract_x
_atom_site_fract_y
_atom_site_fract_z
Ac1 0.0000 0.0000 0.0000
Nd1 0.0000 0.0000 0.5000
Re1 0.5000 0.5000 0.2622
N1 0.0000 0.5000 0.2799
N2 0.5000 0.5000 0.0000
```

Values from the calculation:
Mass density: 11.20 g cm⁻³
DOS(E_F): 2.2 states/eV/cell
Formation energy from raw total energies: -759 meV/atom
M_tot: 0.000 μB per atom

***

No. 2
## Ac2NdRe2N6 (PBE)

Data for a relaxed Ac2NdRe2N6 crystal.

```
data_Ac2NdRe2N6
_cell_length_a 5.9408
_cell_length_b 5.9408
_cell_length_c 18.8787
_cell_angle_alpha 90.00
_cell_angle_beta 90.00
_cell_angle_gamma 120.00
_space_group_name_H-M_alt 'R -3 m'
_space_group_IT_number 166
_space_group_name_Hall '-R 3 2"'
loop_
_atom_site_label
_atom_site_fract_x
_atom_site_fract_y
_atom_site_fract_z
Ac1 0.0000 0.0000 0.2120
Nd1 0.0000 0.0000 0.0000
Re1 0.0000 0.0000 0.4036
N1 0.0046 0.5023 0.7635
```

Values from the calculation:
Mass density: 9.11 g cm⁻³
DOS(E_F): 9.3 states/eV/cell
Formation energy from raw total energies: -752 meV/atom
M_tot: 0.000 μB per atom

***

No. 3
## AcNd2RuN4 (PBE)

Data for a relaxed AcNd2RuN4 crystal.

```
data_AcNd2RuN4
_cell_length_a 3.5902
_cell_length_b 12.2439
_cell_length_c 12.1283
_cell_angle_alpha 90.00
_cell_angle_beta 90.00
_cell_angle_gamma 90.00
_space_group_name_H-M_alt 'C m c m'
_space_group_IT_number 63
_space_group_name_Hall '-C 2c 2'
loop_
_atom_site_label
_atom_site_fract_x
_atom_site_fract_y
_atom_site_fract_z
Ac1 0.0000 0.1108 0.2500
Nd1 0.0000 0.3681 0.0433
Ru1 0.0000 0.1547 0.7500
N1 0.0000 0.0000 0.0000
N2 0.0000 0.2693 0.6307
N3 0.0000 0.4223 0.2500
```

Values from the calculation:
Mass density: 8.38 g cm⁻³
DOS(E_F): 12.3 states/eV/cell
Formation energy from raw total energies: -838 meV/atom
M_tot: 0.000 μB per atom

***

No. 4
## AcNdSN (PBE)

Data for a relaxed AcNdSN crystal.

```
data_AcNdSN
_cell_length_a 3.8983
_cell_length_b 3.8983
_cell_length_c 20.3825
_cell_angle_alpha 90.00
_cell_angle_beta 90.00
_cell_angle_gamma 120.00
_space_group_name_H-M_alt 'R 3 m'
_space_group_IT_number 160
_space_group_name_Hall 'R 3 -2"'
loop_
_atom_site_label
_atom_site_fract_x
_atom_site_fract_y
_atom_site_fract_z
Ac1 0.0000 0.0000 0.0000
Nd1 0.0000 0.0000 0.4753
S1 0.0000 0.0000 0.2323
N1 0.0000 0.0000 0.7427
```

Values from the calculation:
Mass density: 7.75 g cm⁻³
DOS(E_F): 3.8 states/eV/cell
Formation energy from raw total energies: -1627 meV/atom
M_tot: 0.000 μB per atom

***

No. 5
## AcNdSbN (PBE)

Data for a relaxed AcNdSbN crystal.

```
data_AcNdSbN
_cell_length_a 3.7156
_cell_length_b 4.1574
_cell_length_c 14.2649
_cell_angle_alpha 90.00
_cell_angle_beta 90.00
_cell_angle_gamma 90.00
_space_group_name_H-M_alt 'I m m 2'
_space_group_IT_number 44
_space_group_name_Hall 'I 2 -2'
loop_
_atom_site_label
_atom_site_fract_x
_atom_site_fract_y
_atom_site_fract_z
Ac1 0.0000 0.0000 0.0000
Nd1 0.0000 0.0000 0.2963
Sb1 0.0000 0.0000 0.6604
N1 0.0000 0.5000 0.8994
```

Values from the calculation:
Mass density: 7.64 g cm⁻³
DOS(E_F): 4.7 states/eV/cell
Formation energy from raw total energies: -1004 meV/atom
M_tot: 0.046 μB per atom

***

No. 6
## Ac2Nd4Sb3N2 (PBE)

Data for a relaxed Ac2Nd4Sb3N2 crystal.

```
data_Ac2Nd4Sb3N2
_cell_length_a 4.8916
_cell_length_b 4.8916
_cell_length_c 26.7485
_cell_angle_alpha 90.00
_cell_angle_beta 90.00
_cell_angle_gamma 90.00
_space_group_name_H-M_alt 'I 4/m m m'
_space_group_IT_number 139
_space_group_name_Hall '-I 4 2'
loop_
_atom_site_label
_atom_site_fract_x
_atom_site_fract_y
_atom_site_fract_z
Ac1 0.0000 0.0000 0.1918
Nd1 0.0000 0.5000 0.0799
Sb1 0.0000 0.0000 0.3269
Sb2 0.0000 0.0000 0.5000
N1 0.0000 0.0000 0.1002
```

Values from the calculation:
Mass density: 7.39 g cm⁻³
DOS(E_F): 11.5 states/eV/cell
Formation energy from raw total energies: -1152 meV/atom
M_tot: 0.000 μB per atom

***

No. 7
## AcNdSeN (PBE)

Data for a relaxed AcNdSeN crystal.

```
data_AcNdSeN
_cell_length_a 3.9410
_cell_length_b 3.9410
_cell_length_c 21.0904
_cell_angle_alpha 90.00
_cell_angle_beta 90.00
_cell_angle_gamma 120.00
_space_group_name_H-M_alt 'R 3 m'
_space_group_IT_number 160
_space_group_name_Hall 'R 3 -2"'
loop_
_atom_site_label
_atom_site_fract_x
_atom_site_fract_y
_atom_site_fract_z
Ac1 0.0000 0.0000 0.0000
Nd1 0.0000 0.0000 0.5308
Se1 0.0000 0.0000 0.7706
N1 0.0000 0.0000 0.2605
```

Values from the calculation:
Mass density: 8.15 g cm⁻³
DOS(E_F): 3.6 states/eV/cell
Formation energy from raw total energies: -1526 meV/atom
M_tot: 0.000 μB per atom

***

No. 8
## AcNd2SiN4 (PBE)

Data for a relaxed AcNd2SiN4 crystal.

```
data_AcNd2SiN4
_cell_length_a 3.5668
_cell_length_b 12.0276
_cell_length_c 12.0666
_cell_angle_alpha 90.00
_cell_angle_beta 90.00
_cell_angle_gamma 90.00
_space_group_name_H-M_alt 'C m c m'
_space_group_IT_number 63
_space_group_name_Hall '-C 2c 2'
loop_
_atom_site_label
_atom_site_fract_x
_atom_site_fract_y
_atom_site_fract_z
Ac1 0.0000 0.0888 0.2500
Nd1 0.0000 0.3677 0.0433
Si1 0.0000 0.1822 0.7500
N1 0.0000 0.0000 0.0000
N2 0.0000 0.2695 0.6344
N3 0.0000 0.3974 0.2500
```

Values from the calculation:
Mass density: 7.69 g cm⁻³
DOS(E_F): 5.7 states/eV/cell
Formation energy from raw total energies: -1146 meV/atom
M_tot: 0.000 μB per atom

***

No. 9
## Ac2NdSiN4 (PBE)

Data for a relaxed Ac2NdSiN4 crystal.

```
data_Ac2NdSiN4
_cell_length_a 3.6237
_cell_length_b 12.0404
_cell_length_c 12.8452
_cell_angle_alpha 90.00
_cell_angle_beta 90.00
_cell_angle_gamma 90.00
_space_group_name_H-M_alt 'C m c m'
_space_group_IT_number 63
_space_group_name_Hall '-C 2c 2'
loop_
_atom_site_label
_atom_site_fract_x
_atom_site_fract_y
_atom_site_fract_z
Ac1 0.0000 0.1349 0.0467
Nd1 0.0000 0.4010 0.2500
Si1 0.0000 0.3122 0.7500
N1 0.0000 0.1050 0.2500
N2 0.0000 0.2179 0.6452
N3 0.0000 0.5000 0.0000
```

Values from the calculation:
Mass density: 8.09 g cm⁻³
DOS(E_F): 6.1 states/eV/cell
Formation energy from raw total energies: -903 meV/atom
M_tot: 0.000 μB per atom

***

No. 10
## AcNd2SnN (PBE)

Data for a relaxed AcNd2SnN crystal.

```
data_AcNd2SnN
_cell_length_a 5.0685
_cell_length_b 5.0685
_cell_length_c 5.2482
_cell_angle_alpha 90.00
_cell_angle_beta 90.00
_cell_angle_gamma 90.00
_space_group_name_H-M_alt 'P 4/m m m'
_space_group_IT_number 123
_space_group_name_Hall '-P 4 2'
loop_
_atom_site_label
_atom_site_fract_x
_atom_site_fract_y
_atom_site_fract_z
Ac1 0.0000 0.0000 0.0000
Nd1 0.0000 0.5000 0.5000
Sn1 0.5000 0.5000 0.0000
N1 0.0000 0.0000 0.5000
```

Values from the calculation:
Mass density: 7.98 g cm⁻³
DOS(E_F): 2.2 states/eV/cell
Formation energy from raw total energies: -873 meV/atom
M_tot: 0.000 μB per atom

***

No. 11
## AcNdTaN4 (PBE)

Data for a relaxed AcNdTaN4 crystal.

```
data_AcNdTaN4
_cell_length_a 5.8063
_cell_length_b 12.8483
_cell_length_c 5.7907
_cell_angle_alpha 90.00
_cell_angle_beta 90.00
_cell_angle_gamma 90.00
_space_group_name_H-M_alt 'C m c m'
_space_group_IT_number 63
_space_group_name_Hall '-C 2c 2'
loop_
_atom_site_label
_atom_site_fract_x
_atom_site_fract_y
_atom_site_fract_z
Ac1 0.0000 0.1042 0.2500
Nd1 0.0000 0.3919 0.2500
Ta1 0.0000 0.2551 0.7500
N1 0.0000 0.0882 0.7500
N2 0.0000 0.4195 0.7500
N3 0.2500 0.2500 0.0000
```

Values from the calculation:
Mass density: 9.35 g cm⁻³
DOS(E_F): 23.0 states/eV/cell
Formation energy from raw total energies: -1111 meV/atom
M_tot: 0.000 μB per atom

***

No. 12
## Ac2NdTcN4 (PBE)

Data for a relaxed Ac2NdTcN4 crystal.

```
data_Ac2NdTcN4
_cell_length_a 3.6103
_cell_length_b 12.6805
_cell_length_c 12.7932
_cell_angle_alpha 90.00
_cell_angle_beta 90.00
_cell_angle_gamma 90.00
_space_group_name_H-M_alt 'C m c m'
_space_group_IT_number 63
_space_group_name_Hall '-C 2c 2'
loop_
_atom_site_label
_atom_site_fract_x
_atom_site_fract_y
_atom_site_fract_z
Ac1 0.0000 0.1325 0.0408
Nd1 0.0000 0.3710 0.2500
Tc1 0.0000 0.3451 0.7500
N1 0.0000 0.0895 0.2500
N2 0.0000 0.2239 0.6443
N3 0.0000 0.5000 0.0000
```

Values from the calculation:
Mass density: 8.53 g cm⁻³
DOS(E_F): 9.2 states/eV/cell
Formation energy from raw total energies: -713 meV/atom
M_tot: 0.000 μB per atom

***

No. 13
## Ac3NdTc2N6 (PBE)

Data for a relaxed Ac3NdTc2N6 crystal.

```
data_Ac3NdTc2N6
_cell_length_a 6.1090
_cell_length_b 6.1090
_cell_length_c 7.1012
_cell_angle_alpha 90.00
_cell_angle_beta 90.00
_cell_angle_gamma 120.00
_space_group_name_H-M_alt 'P -3 m 1'
_space_group_IT_number 164
_space_group_name_Hall '-P 3 2"'
loop_
_atom_site_label
_atom_site_fract_x
_atom_site_fract_y
_atom_site_fract_z
Ac1 0.0000 0.0000 0.0000
Ac2 0.3333 0.6667 0.6997
Nd1 0.0000 0.0000 0.5000
Tc1 0.3333 0.6667 0.1860
N1 0.1713 0.3426 0.2782
```

Values from the calculation:
Mass density: 8.00 g cm⁻³
DOS(E_F): 6.6 states/eV/cell
Formation energy from raw total energies: -699 meV/atom
M_tot: 0.000 μB per atom

***

No. 14
## AcNdTeN (PBE)

Data for a relaxed AcNdTeN crystal.

```
data_AcNdTeN
_cell_length_a 3.9624
_cell_length_b 4.0811
_cell_length_c 13.8177
_cell_angle_alpha 90.00
_cell_angle_beta 90.00
_cell_angle_gamma 90.00
_space_group_name_H-M_alt 'I m m 2'
_space_group_IT_number 44
_space_group_name_Hall 'I 2 -2'
loop_
_atom_site_label
_atom_site_fract_x
_atom_site_fract_y
_atom_site_fract_z
Ac1 0.0000 0.0000 0.0000
Nd1 0.0000 0.0000 0.3013
Te1 0.0000 0.0000 0.6602
N1 0.0000 0.5000 0.8978
```

Values from the calculation:
Mass density: 7.62 g cm⁻³
DOS(E_F): 2.9 states/eV/cell
Formation energy from raw total energies: -1294 meV/atom
M_tot: 0.224 μB per atom

***

No. 15
## Ac4Nd2Te3N2 (PBE)

Data for a relaxed Ac4Nd2Te3N2 crystal.

```
data_Ac4Nd2Te3N2
_cell_length_a 4.9572
_cell_length_b 4.9572
_cell_length_c 27.5150
_cell_angle_alpha 90.00
_cell_angle_beta 90.00
_cell_angle_gamma 90.00
_space_group_name_H-M_alt 'I 4/m m m'
_space_group_IT_number 139
_space_group_name_Hall '-I 4 2'
loop_
_atom_site_label
_atom_site_fract_x
_atom_site_fract_y
_atom_site_fract_z
Ac1 0.0000 0.5000 0.0861
Nd1 0.0000 0.0000 0.1968
Te1 0.0000 0.0000 0.3192
Te2 0.0000 0.0000 0.5000
N1 0.0000 0.0000 0.1129
```

Values from the calculation:
Mass density: 7.89 g cm⁻³
DOS(E_F): 12.9 states/eV/cell
Formation energy from raw total energies: -1039 meV/atom
M_tot: 0.000 μB per atom

***

No. 16
## AcNdTh2N4 (PBE)

Data for a relaxed AcNdTh2N4 crystal.

```
data_AcNdTh2N4
_cell_length_a 6.4354
_cell_length_b 3.7188
_cell_length_c 6.4610
_cell_angle_alpha 90.00
_cell_angle_beta 109.38
_cell_angle_gamma 90.00
_space_group_name_H-M_alt 'P 1 2/m 1'
_space_group_IT_number 10
_space_group_name_Hall '-P 2y'
loop_
_atom_site_label
_atom_site_fract_x
_atom_site_fract_y
_atom_site_fract_z
Ac1 0.0000 0.0000 0.0000
Nd1 0.5000 0.5000 0.0000
Th1 0.0000 0.5000 0.5000
Th2 0.5000 0.0000 0.5000
N1 0.2466 0.0000 0.7256
N2 0.2645 0.5000 0.2807
```

Values from the calculation:
Mass density: 10.15 g cm⁻³
DOS(E_F): 3.3 states/eV/cell
Formation energy from raw total energies: -1427 meV/atom
M_tot: 0.000 μB per atom

***

No. 17
## Ac3NdTh2N6 (PBE)

Data for a relaxed Ac3NdTh2N6 crystal.

```
data_Ac3NdTh2N6
_cell_length_a 6.5142
_cell_length_b 11.2761
_cell_length_c 6.5874
_cell_angle_alpha 90.00
_cell_angle_beta 109.20
_cell_angle_gamma 90.00
_space_group_name_H-M_alt 'C 1 2/m 1'
_space_group_IT_number 12
_space_group_name_Hall '-C 2y'
loop_
_atom_site_label
_atom_site_fract_x
_atom_site_fract_y
_atom_site_fract_z
Ac1 0.0000 0.0000 0.0000
Ac2 0.0000 0.3349 0.0000
Nd1 0.0000 0.5000 0.5000
Th1 0.0000 0.1668 0.5000
N1 0.2286 0.0000 0.7201
N2 0.2463 0.3279 0.7229
```

Values from the calculation:
Mass density: 9.98 g cm⁻³
DOS(E_F): 4.5 states/eV/cell
Formation energy from raw total energies: -1330 meV/atom
M_tot: 0.000 μB per atom

***

No. 18
## AcNd2ThN4 (PBE)

Data for a relaxed AcNd2ThN4 crystal.

```
data_AcNd2ThN4
_cell_length_a 6.4186
_cell_length_b 3.7184
_cell_length_c 6.4649
_cell_angle_alpha 90.00
_cell_angle_beta 109.37
_cell_angle_gamma 90.00
_space_group_name_H-M_alt 'P 1 2/m 1'
_space_group_IT_number 10
_space_group_name_Hall '-P 2y'
loop_
_atom_site_label
_atom_site_fract_x
_atom_site_fract_y
_atom_site_fract_z
Ac1 0.0000 0.0000 0.0000
Nd1 0.5000 0.0000 0.5000
Nd2 0.5000 0.5000 0.0000
Th1 0.0000 0.5000 0.5000
N1 0.2437 0.0000 0.7341
N2 0.2508 0.5000 0.2689
```

Values from the calculation:
Mass density: 9.17 g cm⁻³
DOS(E_F): 2.0 states/eV/cell
Formation energy from raw total energies: -1352 meV/atom
M_tot: 0.000 μB per atom

***

No. 19
## AcNd2TiN4 (PBE)

Data for a relaxed AcNd2TiN4 crystal.

```
data_AcNd2TiN4
_cell_length_a 3.5705
_cell_length_b 12.3644
_cell_length_c 12.3483
_cell_angle_alpha 90.00
_cell_angle_beta 90.00
_cell_angle_gamma 90.00
_space_group_name_H-M_alt 'C m c m'
_space_group_IT_number 63
_space_group_name_Hall '-C 2c 2'
loop_
_atom_site_label
_atom_site_fract_x
_atom_site_fract_y
_atom_site_fract_z
Ac1 0.0000 0.0952 0.2500
Nd1 0.0000 0.3696 0.0405
Ti1 0.0000 0.1713 0.7500
N1 0.0000 0.0000 0.0000
N2 0.0000 0.2658 0.6304
N3 0.0000 0.4155 0.2500
```

Values from the calculation:
Mass density: 7.55 g cm⁻³
DOS(E_F): 10.4 states/eV/cell
Formation energy from raw total energies: -1300 meV/atom
M_tot: 0.000 μB per atom

***

No. 20
## AcNdTiN3 (PBE)

Data for a relaxed AcNdTiN3 crystal.

```
data_AcNdTiN3
_cell_length_a 13.6511
_cell_length_b 4.0215
_cell_length_c 7.3832
_cell_angle_alpha 90.00
_cell_angle_beta 105.59
_cell_angle_gamma 90.00
_space_group_name_H-M_alt 'C 1 2/m 1'
_space_group_IT_number 12
_space_group_name_Hall '-C 2y'
loop_
_atom_site_label
_atom_site_fract_x
_atom_site_fract_y
_atom_site_fract_z
Ac1 0.1467 0.0000 0.0751
Nd1 0.1515 0.0000 0.5732
Ti1 0.9999 0.5000 0.2807
N1 0.0011 0.0000 0.2626
N2 0.1555 0.5000 0.8202
N3 0.1594 0.5000 0.3369
```

Values from the calculation:
Mass density: 7.85 g cm⁻³
DOS(E_F): 0.2 states/eV/cell
Formation energy from raw total energies: -1259 meV/atom
M_tot: 0.000 μB per atom